# ErZrOs | Alexandria | PBE-GGA | optimized geometry
# Magnetization (μB/cell): 0.002
# Distance to the lowest polymorph of the same formula (eV per atom): 0.131
# Crystal system: cubic
# Calculated formation energy (eV per formula unit): -0.6
data_ErZrOs
_cell_length_a 6.559
_cell_length_b 6.559
_cell_length_c 6.559
_cell_angle_alpha 90.00
_cell_angle_beta 90.00
_cell_angle_gamma 90.00
_space_group_name_H-M_alt 'F -4 3 m'
_space_group_IT_number 216
_space_group_name_Hall 'F -4 2 3'
loop_
_atom_site_label
_atom_site_type_symbol
_atom_site_fract_x
_atom_site_fract_y
_atom_site_fract_z
_atom_site_occupancy
Er1 Er 0.000 0.000 0.000 1
Zr1 Zr 0.000 0.000 0.500 1
Os1 Os 0.250 0.250 0.750 1

# Pm2TiGa3Ir4 | Alexandria | PBE-GGA | optimized geometry
# Magnetization (μB/cell): 0.000
# Crystal system: tetragonal
# Calculated formation energy (eV per formula unit): -7.4
data_Pm2TiGa3Ir4
_cell_length_a 4.192
_cell_length_b 4.192
_cell_length_c 10.755
_cell_angle_alpha 90.00
_cell_angle_beta 90.00
_cell_angle_gamma 90.00
_space_group_name_H-M_alt 'P -4 m 2'
_space_group_IT_number 115
_space_group_name_Hall 'P -4 -2'
loop_
_atom_site_label
_atom_site_type_symbol
_atom_site_fract_x
_atom_site_fract_y
_atom_site_fract_z
_atom_site_occupancy
Pm1 Pm 0.000 0.500 0.233 1
Ti1 Ti 0.000 0.000 0.500 1
Ga1 Ga 0.000 0.500 0.873 1
Ga2 Ga 0.500 0.500 0.500 1
Ir1 Ir 0.000 0.000 0.000 1
Ir2 Ir 0.000 0.500 0.638 1
Ir3 Ir 0.500 0.500 0.000 1

# Li4SmGd | Alexandria | PBE-GGA | optimized geometry
# Magnetization (μB/cell): 28.895
# Crystal system: cubic
# Calculated formation energy (eV per formula unit): 0.7
data_Li4SmGd
_cell_length_a 8.339
_cell_length_b 8.339
_cell_length_c 8.339
_cell_angle_alpha 90.00
_cell_angle_beta 90.00
_cell_angle_gamma 90.00
_space_group_name_H-M_alt 'F -4 3 m'
_space_group_IT_number 216
_space_group_name_Hall 'F -4 2 3'
loop_
_atom_site_label
_atom_site_type_symbol
_atom_site_fract_x
_atom_site_fract_y
_atom_site_fract_z
_atom_site_occupancy
Li1 Li 0.125 0.125 0.125 1
Sm1 Sm 0.000 0.000 0.500 1
Gd1 Gd 0.250 0.250 0.750 1

# ZrZn3Ru | Alexandria | PBE-GGA | optimized geometry
# Magnetization (μB/cell): 1.963
# Distance to the lowest polymorph of the same formula (eV per atom): 1.169
# Crystal system: cubic
# Calculated formation energy (eV per formula unit): 8.1
data_ZrZn3Ru
_cell_length_a 5.057
_cell_length_b 5.057
_cell_length_c 5.057
_cell_angle_alpha 90.00
_cell_angle_beta 90.00
_cell_angle_gamma 90.00
_space_group_name_H-M_alt 'P m -3 m'
_space_group_IT_number 221
_space_group_name_Hall '-P 4 2 3'
loop_
_atom_site_label
_atom_site_type_symbol
_atom_site_fract_x
_atom_site_fract_y
_atom_site_fract_z
_atom_site_occupancy
Zr1 Zr 0.000 0.000 0.000 1
Zn1 Zn 0.000 0.000 0.500 1
Ru1 Ru 0.500 0.500 0.500 1

# Li2H6Rh | Alexandria | PBE-GGA | optimized geometry
# Magnetization (μB/cell): 0.000
# Distance to the lowest polymorph of the same formula (eV per atom): 0.075
# Crystal system: tetragonal
data_Li2H6Rh
_cell_length_a 4.075
_cell_length_b 4.075
_cell_length_c 8.693
_cell_angle_alpha 90.00
_cell_angle_beta 90.00
_cell_angle_gamma 90.00
_space_group_name_H-M_alt 'P 42/m n m'
_space_group_IT_number 136
_space_group_name_Hall '-P 4n 2n'
loop_
_atom_site_label
_atom_site_type_symbol
_atom_site_fract_x
_atom_site_fract_y
_atom_site_fract_z
_atom_site_occupancy
Li1 Li 0.000 0.000 0.163 1
H1 H 0.176 0.176 0.350 1
H2 H 0.214 0.214 0.000 1
Rh1 Rh 0.000 0.000 0.500 1

# CsBaNa2Ga | Alexandria | PBE-GGA | optimized geometry
# Magnetization (μB/cell): 0.018
# Crystal system: tetragonal
# Calculated formation energy (eV per formula unit): 0.3
data_CsBaNa2Ga
_cell_length_a 6.299
_cell_length_b 6.299
_cell_length_c 6.340
_cell_angle_alpha 90.00
_cell_angle_beta 90.00
_cell_angle_gamma 90.00
_space_group_name_H-M_alt 'P 4/m m m'
_space_group_IT_number 123
_space_group_name_Hall '-P 4 2'
loop_
_atom_site_label
_atom_site_type_symbol
_atom_site_fract_x
_atom_site_fract_y
_atom_site_fract_z
_atom_site_occupancy
Cs1 Cs 0.000 0.000 0.000 1
Ba1 Ba 0.500 0.500 0.000 1
Na1 Na 0.000 0.500 0.500 1
Ga1 Ga 0.500 0.500 0.500 1

Q: What is the magnetization in the second record?
A: 0.000 μB/cell

Q: Which formula does entry 1 have?
A: ErZrOs